Run 1
VASP calculation (SCAN) on LiCoP2O7 at its PBEsol-relaxed geometry.

```
44
Lattice="6.072 0.004 -0.001 -1.000 5.989 0.001 -2.699 -2.859 12.042" Properties=species:S:1:pos:R:3 pbc="T T T"
Li 0.210 0.964 1.775
Li 1.603 4.928 4.246
Li 2.163 2.170 10.266
Li 0.770 -1.794 7.796
Co -0.803 -1.718 10.342
Co 3.176 4.853 1.699
Co 2.498 0.631 7.720
Co -0.125 2.503 4.322
P -0.523 0.903 6.911
P 2.896 2.231 5.131
P 3.408 1.798 0.889
P 0.223 4.090 1.651
P 2.150 -0.956 10.390
P -1.035 1.337 11.153
P 2.761 3.669 7.672
P -0.388 -0.535 4.370
O 3.353 3.304 6.246
O -1.874 2.386 10.411
O -1.006 4.989 1.436
O 0.651 0.250 7.652
O 2.061 2.412 8.218
O -0.049 2.802 2.421
O -0.299 4.391 4.587
O 1.691 -0.433 11.816
O 4.247 0.748 1.630
O -1.085 -1.842 8.441
O 0.312 0.723 3.824
O -0.134 2.214 6.202
O 1.347 4.989 2.197
O -0.980 -0.169 5.795
O 3.084 2.965 1.798
O 0.194 1.937 11.862
O 1.722 2.885 4.390
O 2.672 -1.256 7.455
O -1.728 1.029 7.820
O 2.507 0.920 5.840
O 4.101 2.105 4.222
O 0.682 3.567 0.226
O 3.458 4.976 3.600
O 2.422 0.333 9.621
O -0.711 0.169 10.244
O 2.179 1.198 0.180
O 3.379 -1.854 10.606
O 1.025 -1.855 9.844
```

Results
The calculated volume comes out at 10.0 Å³ per atom. For the total moment, the calculation gives 0.00 μB/f.u.

---

Run 2
VASP calculation (SCAN) on LiCoP2O7 at its PBEsol-relaxed geometry.

```
22
Lattice="6.105 0.002 -0.012 0.795 6.074 0.004 0.419 2.605 6.090" Properties=species:S:1:pos:R:3 pbc="T T T"
Li 0.945 6.502 5.062
Li 6.374 2.179 1.020
Co 4.278 2.590 4.820
Co 3.041 6.092 1.263
P 4.442 5.665 3.959
P 6.059 5.364 1.425
P 1.261 3.318 4.658
P 2.877 3.017 2.124
O 4.201 4.475 4.871
O 3.118 4.207 1.212
O 2.254 1.911 1.270
O 3.226 6.121 3.138
O 5.065 6.771 4.813
O 6.175 2.343 4.604
O 6.363 4.028 0.862
O 0.956 4.654 5.221
O 1.751 3.486 3.168
O 5.568 5.196 2.914
O 1.144 6.338 1.478
O 4.093 2.561 2.945
O 2.445 2.554 5.385
O 4.874 6.127 0.698
```

Results
The calculated volume comes out at 10.3 Å³ per atom. For the total moment, the calculation gives 0.00 μB/f.u.

---

It comes down to run 1, which is 16 meV/atom more stable than the next structure.

---

Run 1
VASP calculation (SCAN) on LiCoP2O7 at its PBEsol-relaxed geometry.

```
44
Lattice="-5.395 4.160 -0.748 -4.713 -6.235 -0.679 1.450 -2.072 8.954" Properties=species:S:1:pos:R:3 pbc="T T T"
Li -4.791 -5.628 5.903
Li -4.368 -3.073 1.591
Li -3.867 1.481 1.624
Li -4.290 -1.074 5.936
Co -5.839 -5.571 1.313
Co -5.872 -0.620 1.401
Co -2.819 1.424 6.214
Co -2.786 -3.528 6.126
P -5.599 -3.384 7.539
P -3.059 -0.763 -0.012
P -5.777 2.268 -0.288
P -5.374 0.806 4.143
P -1.753 -1.030 4.549
P -2.881 -6.415 7.815
P -3.284 -4.953 3.384
P -6.906 -3.117 2.978
O -2.486 0.493 0.660
O -1.910 -0.679 3.082
O -3.587 0.110 7.325
O -4.947 0.306 2.757
O -6.749 -3.468 4.445
O -4.544 -4.901 2.534
O -1.951 -1.916 0.167
O -7.082 -4.299 2.018
O -8.296 -2.338 2.759
O -4.238 -1.375 0.752
O -2.862 -2.000 4.978
O -3.712 -4.453 4.770
O -6.707 -2.231 7.360
O -4.114 0.754 4.993
O -6.823 -1.572 0.062
O -6.521 -0.009 4.745
O -6.173 -4.640 6.867
O -3.277 -7.642 6.990
O -1.835 -2.575 7.465
O -0.362 -1.809 4.768
O -5.465 0.961 0.425
O -5.796 -2.147 2.549
O -1.576 0.152 5.509
O -4.420 -2.772 6.774
O -2.137 -4.138 2.782
O -5.381 3.495 0.537
O -5.072 -4.257 0.201
O -3.193 -5.108 7.101
```

Results
The calculated volume comes out at 10.6 Å³ per atom. For the total moment, the calculation gives 0.00 μB/f.u.

---

Run 2
VASP calculation (SCAN) on LiCoP2O7 at its PBEsol-relaxed geometry.

```
11
Lattice="-0.778 -2.804 -3.248 4.988 -0.685 0.386 -1.770 -2.787 3.820" Properties=species:S:1:pos:R:3 pbc="T T T"
P 2.232 -4.810 -0.295
P 1.514 -1.060 0.589
Co 4.199 -2.212 -1.035
O 0.580 -2.346 -2.408
O 2.709 -1.270 -0.301
O 0.235 -1.809 0.167
O 3.372 -3.875 -0.591
O 1.722 -1.701 2.046
O 3.445 -3.437 2.561
O 1.595 -4.657 1.101
Li -0.064 -3.538 1.131
```

Results
The calculated volume comes out at 9.6 Å³ per atom. For the total moment, the calculation gives 0.00 μB/f.u.

---

It comes down to run 2, which is 6 meV/atom more stable than the next structure.

---

Run 1
VASP calculation (SCAN) on Li4CoP2O8 at its PBEsol-relaxed geometry.

```
15
Lattice="-4.526 1.355 -0.142 -0.491 -5.033 -1.245 0.042 -0.777 6.110" Properties=species:S:1:pos:R:3 pbc="T T T"
Li -0.919 -1.656 2.856
Li -4.057 -2.800 1.866
Li -1.389 -2.617 0.374
Li -3.586 -1.838 4.349
Co 0.000 0.000 0.000
P -1.992 -4.213 3.368
P -2.984 -0.242 1.355
O -1.163 -3.812 4.629
O -3.813 -0.643 0.094
O -1.420 -3.482 2.142
O -3.556 -0.973 2.581
O -1.501 -0.692 1.193
O -3.474 -3.763 3.530
O -1.328 -0.718 4.488
O -3.648 -3.737 0.235
```

Results
The calculated volume comes out at 9.8 Å³ per atom. For the total moment, the calculation gives 3.00 μB/f.u.

---

Run 2
VASP calculation (SCAN) on Li4CoP2O8 at its PBEsol-relaxed geometry.

```
60
Lattice="-5.753 -0.810 -5.599 -3.910 -0.287 7.087 -1.194 10.186 -0.247" Properties=species:S:1:pos:R:3 pbc="T T T"
Li -3.861 5.537 1.968
Li -3.703 0.394 2.160
Li -8.623 2.604 1.195
Li -3.700 3.053 0.436
Li -2.234 6.485 0.046
Li -3.330 3.178 3.622
Li -5.342 8.058 -2.802
Li -5.999 1.002 0.865
Li -4.488 8.202 3.563
Li -7.155 8.695 -0.918
Li -5.515 1.031 4.043
Li -6.370 0.887 -2.321
Li -4.858 8.087 0.376
Li -7.157 6.036 0.805
Li -7.527 5.911 -2.380
Li -6.997 3.552 -0.726
Co -4.139 3.013 -2.710
Co -1.036 1.484 0.136
Co -9.821 7.606 1.105
Co -6.718 6.076 3.952
P -5.978 3.572 2.272
P -2.381 9.146 1.691
P -8.476 -0.057 -0.449
P -3.679 0.504 -0.986
P -4.880 5.517 -1.031
P -7.178 8.585 2.228
P -6.931 3.300 -3.863
P -3.926 5.789 5.105
O -1.801 3.206 0.632
O -5.399 3.362 -4.146
O -4.488 1.187 -2.128
O -6.618 2.845 1.071
O -6.959 0.198 -0.612
O -1.901 8.393 0.418
O -5.459 5.728 5.388
O -5.201 9.186 -1.222
O -6.551 5.019 2.350
O -9.013 3.592 -0.435
O -5.657 -0.097 2.464
O -6.415 5.421 -0.872
O -4.053 1.137 0.379
O -3.702 6.425 3.709
O -3.508 1.255 3.919
O -1.844 5.497 1.677
O -6.805 7.952 0.862
O -4.579 6.298 -2.341
O -6.716 -0.316 -3.812
O -3.898 8.891 1.854
O -4.239 6.245 0.171
O -4.141 9.405 5.053
O -7.349 7.834 -2.677
O -6.278 2.791 3.582
O -6.369 7.902 3.370
O -4.442 3.668 2.113
O -7.156 2.665 -2.467
O -9.056 5.884 0.609
O -2.173 0.786 -1.274
O -4.307 4.071 -1.108
O -8.685 8.304 2.516
O -8.956 0.696 0.824
```

Results
The calculated volume comes out at 10.8 Å³ per atom. For the total moment, the calculation gives 3.00 μB/f.u.

---

It comes down to run 2, which is 52 meV/atom more stable than the next structure.

---

Run 1
VASP calculation (SCAN) on Li2CoSnP2O8 at its PBEsol-relaxed geometry.

```
28
Lattice="4.851 0.000 -0.027 0.000 5.776 0.000 -2.213 0.000 11.723" Properties=species:S:1:pos:R:3 pbc="T T T"
Li 1.319 0.000 5.848
Li 1.319 2.888 5.848
Li 0.000 0.000 0.000
Li 0.000 2.888 0.000
Co 2.259 1.444 2.155
Co 0.379 4.332 9.541
Sn -0.309 4.332 3.297
Sn 2.946 1.444 8.399
P 3.562 1.444 4.593
P 1.976 4.332 0.922
P 0.661 1.444 10.774
P -0.925 4.332 7.102
O -0.091 4.332 5.811
O 0.212 1.444 4.867
O 3.091 0.233 3.683
O 3.091 2.655 3.683
O 1.312 3.069 1.566
O 1.312 5.595 1.566
O 3.507 4.332 1.080
O 3.414 1.444 0.514
O -0.776 4.332 11.181
O -0.869 1.444 10.615
O 1.325 0.181 10.130
O 1.325 2.707 10.130
O -0.454 3.121 8.012
O -0.454 5.544 8.012
O 2.425 4.332 6.828
O 2.729 1.444 5.884
```

Results
The calculated volume comes out at 11.7 Å³ per atom. For the total moment, the calculation gives 3.00 μB/f.u.

---

Run 2
VASP calculation (SCAN) on Li2CoSnP2O8 at its PBEsol-relaxed geometry.

```
56
Lattice="4.750 0.000 -0.070 0.000 6.073 0.000 -0.548 0.000 23.287" Properties=species:S:1:pos:R:3 pbc="T T T"
Li 2.542 5.707 16.789
Li 1.660 0.365 6.428
Li 1.386 2.671 18.072
Li 2.816 3.402 5.145
Li -0.274 0.000 11.644
Li 0.000 0.000 0.000
Li -0.274 3.036 11.644
Li 0.000 3.036 0.000
Co 2.735 4.566 2.238
Co 1.467 1.507 20.979
Co 2.461 4.543 13.881
Co 1.741 1.529 9.336
Sn -0.183 1.526 14.790
Sn 0.091 1.510 3.146
Sn 4.385 4.546 8.427
Sn 4.112 4.562 20.071
P 0.503 4.543 15.779
P 0.777 4.566 4.136
P 3.699 1.530 7.438
P 3.425 1.507 19.081
P 2.489 1.507 12.500
P 2.763 1.530 0.856
P 1.713 4.566 10.717
P 1.440 4.543 22.361
O 2.941 1.275 17.654
O 3.215 1.761 6.011
O 1.261 4.797 5.563
O 0.987 4.311 17.206
O 3.729 4.698 15.576
O 4.002 4.410 3.932
O 0.474 1.374 7.641
O 0.200 1.662 19.285
O 0.959 1.492 12.694
O 1.233 1.545 1.050
O 3.243 4.581 10.523
O 2.970 4.528 22.167
O 1.236 4.546 12.181
O 1.510 4.563 0.537
O 2.966 1.526 11.036
O 2.692 1.510 22.680
O 1.263 5.810 15.218
O 1.294 5.687 3.161
O 1.020 3.422 14.805
O 1.537 3.298 3.575
O 3.182 2.650 8.412
O 2.665 2.774 19.642
O 2.939 0.262 7.999
O 2.909 0.386 20.056
O 3.194 2.741 13.187
O 3.457 2.776 1.522
O 3.183 0.260 13.166
O 3.468 0.296 1.543
O 1.019 5.812 10.051
O 0.734 5.777 21.674
O 1.008 3.332 10.030
O 0.745 3.297 21.695
```

Results
The calculated volume comes out at 12.0 Å³ per atom. For the total moment, the calculation gives 3.00 μB/f.u.

---

It comes down to run 2, which is 12 meV/atom more stable than the next structure.